Entry 1:
Material: LiSm2Cd2
Method: DFT, PBE
State: optimized geometry

Lattice parameters (Å, degrees): 7.1550 12.9481 5.8069 90.00 90.00 90.00
Closest atoms and distances in Å follow each position.
Space group Ibam (No. 72)
Inequivalent atoms, fractional coordinates:
Li1 0.0000 0.0000 0.2500 x4  4 Cd 2.77, 2 Li 2.90
Sm1 0.1989 0.3156 0.0000 x8  5 Cd 3.19-3.30, 2 Sm 3.44, 2 Li 3.53
Cd1 0.1966 0.4296 0.5000 x8  2 Li 2.77

Values from the calculation:
Energy above the most stable polymorph in this dataset: 0.0702 eV per atom
E_form: -0.106 eV/atom
Total energy: -54.9 eV per cell



Entry 2:
Material: LiSmCd4
Method: DFT, PBE
State: optimized geometry

Lattice parameters (Å, degrees): 3.2071 4.9933 8.8050 90.00 90.08 90.00
Closest atoms and distances in Å follow each position.
Space group Pm (No. 6)
Inequivalent atoms, fractional coordinates:
Li1 0.0000 0.0000 0.0000 x1  2 Li 3.21, 12 Cd 3.27-3.28
Sm1 0.0005 0.5000 0.5003 x1  2 Sm 3.21, 12 Cd 3.35-3.41
Cd1 0.4994 0.0000 0.3245 x1  5 Cd 2.89-3.21
Cd2 0.4996 0.5000 0.1589 x1  3 Cd 2.79-2.89
Cd3 0.5008 0.0000 0.6761 x1  5 Cd 2.89-3.21
Cd4 0.5033 0.5000 0.8416 x1  3 Cd 2.79-2.89

Values from the calculation:
Energy above the most stable polymorph in this dataset: 0.0170 eV per atom
E_form: -0.234 eV/atom
Total energy: -11.7 eV per cell



Entry 3:
Material: LiSmCd6
Method: DFT, PBE
State: optimized geometry

Lattice parameters (Å, degrees): 4.9552 4.9552 25.2764 90.00 90.00 120.00
Closest atoms and distances in Å follow each position.
Space group R-3m (No. 166, hexagonal axes)
Inequivalent atoms, fractional coordinates:
Li1 0.0000 0.0000 0.0000 x3  8 Cd 2.85-2.99
Sm1 0.0000 0.0000 0.5000 x3  14 Cd 3.17-3.52
Cd1 0.0000 0.0000 0.1129 x6  1 Li 2.85, 3 Cd 2.94, 3 Sm 3.17
Cd2 0.0000 0.0000 0.2478 x6  7 Cd 2.94-3.13
Cd3 0.0000 0.0000 0.3683 x6  3 Li 2.99, 4 Cd 3.05-3.13, 1 Sm 3.33

Values from the calculation:
Energy above the most stable polymorph in this dataset: 0.0000 eV per atom
E_form: -0.220 eV/atom
Total energy: -41.6 eV per cell



Entry 4:
Material: Li7SmCd4
Method: DFT, PBE
State: optimized geometry

Lattice parameters (Å, degrees): 13.8623 5.1036 8.6665 90.00 126.35 90.00
Closest atoms and distances in Å follow each position.
Space group C2/m (No. 12)
Inequivalent atoms, fractional coordinates:
Li1 0.0000 0.0000 0.0000 x2  2 Sm 2.55, 4 Cd 2.56-2.68
Li2 0.0609 0.5000 0.6914 x4  1 Li 2.69, 3 Cd 2.72-2.87
Li3 0.2048 0.0000 0.7311 x4  2 Cd 2.69-2.71
Li4 0.2175 0.5000 0.5546 x4  2 Cd 2.85-2.99, 6 Li 3.03-3.11
Sm1 0.0000 0.5000 0.0000 x2  2 Li 2.55
Cd1 0.0463 0.0000 0.3477 x4  5 Li 2.68-2.87
Cd2 0.1979 0.0000 0.0374 x4  3 Li 2.56-2.72

Values from the calculation:
E_form: -0.035 eV/atom
Total energy: -44.4 eV per cell



Q: Number 1 is which compound?
A: LiSm2Cd2